Here is crystalline Nb7Ru2C2 at its relaxed geometry from Alexandria. Energies are from PBE.

The structure in POSCAR format:
```
Nb7Ru2C2
1.0
-1.856 2.301 0.682
-5.210 -3.747 5.209
0.772 0.184 8.227
Nb C Ru
7 2 2
Direct
0.500 0.028 0.972
0.840 0.418 0.902
0.366 0.726 0.542
0.183 0.723 0.911
0.160 0.098 0.582
0.817 0.089 0.277
0.634 0.458 0.274
0.750 0.860 0.640
0.250 0.360 0.140
0.500 0.349 0.651
0.000 0.743 0.257
```

The calculation puts the formation energy at -0.071 eV per atom.



Here is crystalline NbRuC2 at its relaxed geometry from Alexandria. Energies are from PBE.

The structure in POSCAR format:
```
NbRuC2
1.0
0.749 -0.027 3.801
-0.293 3.271 2.056
-2.888 0.435 2.546
Nb C Ru
1 2 1
Direct
0.000 0.000 0.000
0.750 0.750 0.750
0.250 0.250 0.250
0.500 0.500 0.500
```

The calculation puts the formation energy at 0.790 eV per atom. As for the excess energy over the best structure of this formula in the dataset: 404.7 meV/atom.



Here is crystalline Sc2NbRuC at its relaxed geometry from Alexandria. Energies are from PBE.

The structure in POSCAR format:
```
Sc2NbRuC
1.0
4.404 0.000 0.000
0.000 4.404 0.000
0.000 0.000 4.286
Sc Nb Ru C
2 1 1 1
Direct
0.500 0.000 0.000
0.000 0.500 0.000
0.000 0.000 0.500
0.500 0.500 0.500
0.000 0.000 0.000
```

The calculation puts the formation energy at -0.190 eV per atom.



Here is crystalline NbRu2CSe at its relaxed geometry from Alexandria. Energies are from PBE.

The structure in POSCAR format:
```
NbRu2CSe
1.0
4.635 0.000 0.000
0.000 3.830 0.000
0.000 0.000 4.635
Ru Nb Se C
2 1 1 1
Direct
0.000 0.000 0.500
0.500 0.000 0.000
0.500 0.500 0.500
0.000 0.000 0.000
0.000 0.500 0.000
```

As for the formation energy from raw total energies: 39.934 kcal/mol of atoms.



Here is crystalline NbTcRu2C at its relaxed geometry from Alexandria. Energies are from PBE.

The structure in POSCAR format:
```
NbTcRu2C
1.0
-3.298 1.333 -1.921
-1.848 -3.521 0.729
-1.462 1.504 3.554
Tc Ru C Nb
1 2 1 1
Direct
0.000 0.000 0.500
0.500 0.000 0.000
0.000 0.500 0.000
0.000 0.000 0.000
0.500 0.500 0.500
```

The calculation puts the formation energy at -0.106 eV per atom.



Here is crystalline NbTlRuC2 at its relaxed geometry from Alexandria. Energies are from PBE.

The structure in POSCAR format:
```
NbTlRuC2
1.0
-0.093 2.660 -2.993
-2.476 -3.513 -3.046
-3.534 1.353 1.312
C Ru Tl Nb
2 1 1 1
Direct
0.500 0.000 0.000
0.000 0.000 0.500
0.000 0.000 0.000
0.500 0.500 0.500
0.000 0.500 0.000
```

The calculation puts the formation energy at 1.509 eV per atom.



Here is crystalline NbRuWC2 at its relaxed geometry from Alexandria. Energies are from PBE.

The structure in POSCAR format:
```
NbRuWC2
1.0
4.024 0.000 0.000
0.000 5.239 0.000
0.000 0.000 4.024
Ru Nb C W
1 1 2 1
Direct
0.500 0.500 0.500
0.000 0.000 0.000
0.500 0.000 0.000
0.000 0.000 0.500
0.000 0.500 0.000
```

The calculation puts the formation energy at 2.450 eV per atom.



Here is crystalline Nb2CS at its relaxed geometry from Alexandria. Energies are from PBE.

The structure in POSCAR format:
```
Nb2CS
1.0
-2.361 0.909 2.116
2.507 -1.882 1.036
2.248 5.880 -0.018
C Nb S
1 2 1
Direct
0.000 0.500 0.500
0.729 0.957 0.686
0.271 0.043 0.314
0.500 0.500 0.000
```

As for the formation energy from raw total energies: -16.538 kcal/mol of atoms. As for the excess energy over the best structure of this formula in the dataset: 58.3 meV/atom.